Entry 1:
# GGA-PBE GaRe2Hg, optimized geometry
# Size of the total moment ... 0.00 μB per formula unit
data_GaRe2Hg
_chemical_formula_sum 'Ga1 Re2 Hg1'
_cell_length_a 4.517
_cell_length_b 4.517
_cell_length_c 4.517
_cell_angle_alpha 60.00
_cell_angle_beta 60.00
_cell_angle_gamma 60.00
_symmetry_space_group_name_H-M 'P 1'
_symmetry_Int_Tables_number 1
loop_
_symmetry_equiv_pos_as_xyz
'x,y,z'
loop_
_atom_site_label
_atom_site_type_symbol
_atom_site_fract_x
_atom_site_fract_y
_atom_site_fract_z
Ga1 Ga 0.500 0.500 0.500
Hg1 Hg 0.250 0.250 0.250
Re1 Re 0.000 0.000 0.000
Re2 Re 0.750 0.750 0.750

***

Entry 2:
# GGA-PBE LiPrZnCd, optimized geometry
# Size of the total moment ... 0.00 μB per formula unit
data_LiPrZnCd
_chemical_formula_sum 'Li1 Pr1 Zn1 Cd1'
_cell_length_a 4.913
_cell_length_b 4.913
_cell_length_c 4.913
_cell_angle_alpha 60.00
_cell_angle_beta 60.00
_cell_angle_gamma 60.00
_symmetry_space_group_name_H-M 'P 1'
_symmetry_Int_Tables_number 1
loop_
_symmetry_equiv_pos_as_xyz
'x,y,z'
loop_
_atom_site_label
_atom_site_type_symbol
_atom_site_fract_x
_atom_site_fract_y
_atom_site_fract_z
Cd1 Cd 0.000 0.000 0.000
Li1 Li 0.250 0.250 0.250
Pr1 Pr 0.500 0.500 0.500
Zn1 Zn 0.750 0.750 0.750

***

Entry 3:
# GGA-PBE Sm2TlCoCu, optimized geometry
# Size of the total moment ... 0.01 μB per formula unit
data_Sm2TlCoCu
_chemical_formula_sum 'Sm2 Tl1 Co1 Cu1'
_cell_length_a 3.788
_cell_length_b 7.553
_cell_length_c 7.553
_cell_angle_alpha 31.04
_cell_angle_beta 90.00
_cell_angle_gamma 90.00
_symmetry_space_group_name_H-M 'P 1'
_symmetry_Int_Tables_number 1
loop_
_symmetry_equiv_pos_as_xyz
'x,y,z'
loop_
_atom_site_label
_atom_site_type_symbol
_atom_site_fract_x
_atom_site_fract_y
_atom_site_fract_z
Co1 Co 0.000 0.203 0.203
Cu1 Cu 0.000 0.797 0.797
Sm1 Sm 0.500 0.360 0.360
Sm2 Sm 0.500 0.637 0.637
Tl1 Tl 0.000 0.003 0.003

***

Entry 4:
# GGA-PBE GdZrNO, optimized geometry
# Size of the total moment ... 0.01 μB per formula unit
# Energy above the most stable polymorph in this dataset ... 0.10 eV per formula unit
data_GdZrNO
_chemical_formula_sum 'Gd2 Zr2 N2 O2'
_cell_length_a 4.804
_cell_length_b 4.804
_cell_length_c 4.662
_cell_angle_alpha 90.00
_cell_angle_beta 90.00
_cell_angle_gamma 90.00
_symmetry_space_group_name_H-M 'P 1'
_symmetry_Int_Tables_number 1
loop_
_symmetry_equiv_pos_as_xyz
'x,y,z'
loop_
_atom_site_label
_atom_site_type_symbol
_atom_site_fract_x
_atom_site_fract_y
_atom_site_fract_z
Gd1 Gd 0.750 0.250 0.500
Gd2 Gd 0.250 0.750 0.500
N1 N 0.750 0.750 0.500
N2 N 0.250 0.250 0.500
O1 O 0.750 0.250 0.000
O2 O 0.250 0.750 0.000
Zr1 Zr 0.250 0.250 0.001
Zr2 Zr 0.750 0.750 0.999

***

Entry 5:
# GGA-PBE Na3ReO5, optimized geometry
# Size of the total moment ... 0.00 μB per formula unit
data_Na3ReO5
_chemical_formula_sum 'Na9 Re3 O15'
_cell_length_a 5.487
_cell_length_b 5.487
_cell_length_c 13.490
_cell_angle_alpha 90.00
_cell_angle_beta 90.00
_cell_angle_gamma 120.00
_symmetry_space_group_name_H-M 'P 1'
_symmetry_Int_Tables_number 1
loop_
_symmetry_equiv_pos_as_xyz
'x,y,z'
loop_
_atom_site_label
_atom_site_type_symbol
_atom_site_fract_x
_atom_site_fract_y
_atom_site_fract_z
Na1 Na 0.710 0.972 0.088
Na2 Na 0.059 0.672 0.169
Na3 Na 0.414 0.371 0.253
Na4 Na 0.028 0.737 0.421
Na5 Na 0.328 0.387 0.502
Na6 Na 0.629 0.043 0.587
Na7 Na 0.263 0.290 0.755
Na8 Na 0.613 0.941 0.836
Na9 Na 0.957 0.586 0.920
O1 O 0.331 0.959 0.005
O2 O 0.675 0.496 0.069
O3 O 0.167 0.347 0.112
O4 O 0.489 0.990 0.229
O5 O 0.844 0.835 0.273
O6 O 0.041 0.372 0.338
O7 O 0.504 0.179 0.403
O8 O 0.653 0.820 0.446
O9 O 0.010 0.500 0.563
O10 O 0.165 0.010 0.606
O11 O 0.628 0.669 0.671
O12 O 0.821 0.325 0.736
O13 O 0.180 0.833 0.779
O14 O 0.500 0.511 0.896
O15 O 0.990 0.156 0.940
Re1 Re 0.333 0.288 0.004
Re2 Re 0.712 0.045 0.338
Re3 Re 0.955 0.667 0.671

***

Entry 6:
First-principles (GGA-PBE) data for a relaxed structure of Na5As2Au, as listed in OQMD.

The structure in CIF format:
```
data_Na5As2Au
_chemical_formula_sum 'Na10 As4 Au2'
_cell_length_a 5.065
_cell_length_b 5.065
_cell_length_c 17.904
_cell_angle_alpha 90.00
_cell_angle_beta 90.00
_cell_angle_gamma 120.00
_symmetry_space_group_name_H-M 'P 1'
_symmetry_Int_Tables_number 1
loop_
_symmetry_equiv_pos_as_xyz
'x,y,z'
loop_
_atom_site_label
_atom_site_type_symbol
_atom_site_fract_x
_atom_site_fract_y
_atom_site_fract_z
As1 As 0.333 0.667 0.112
As2 As 0.333 0.667 0.388
As3 As 0.667 0.333 0.612
As4 As 0.667 0.333 0.888
Au1 Au 0.333 0.667 0.250
Au2 Au 0.667 0.333 0.750
Na1 Na 0.667 0.333 0.053
Na2 Na 0.000 0.000 0.140
Na3 Na 0.667 0.333 0.250
Na4 Na 0.000 0.000 0.360
Na5 Na 0.667 0.333 0.447
Na6 Na 0.333 0.667 0.553
Na7 Na 0.000 0.000 0.640
Na8 Na 0.333 0.667 0.750
Na9 Na 0.000 0.000 0.860
Na10 Na 0.333 0.667 0.947
```

***

Entry 7:
First-principles (GGA-PBE) data for a relaxed structure of RbAu2IBr2, as listed in OQMD.

The structure in CIF format:
```
data_RbAu2IBr2
_chemical_formula_sum 'Rb2 Au4 I2 Br4'
_cell_length_a 7.953
_cell_length_b 5.670
_cell_length_c 9.067
_cell_angle_alpha 90.00
_cell_angle_beta 109.28
_cell_angle_gamma 90.00
_symmetry_space_group_name_H-M 'P 1'
_symmetry_Int_Tables_number 1
loop_
_symmetry_equiv_pos_as_xyz
'x,y,z'
loop_
_atom_site_label
_atom_site_type_symbol
_atom_site_fract_x
_atom_site_fract_y
_atom_site_fract_z
Au1 Au 0.557 0.502 0.161
Au2 Au 0.557 0.998 0.161
Au3 Au 0.443 0.002 0.839
Au4 Au 0.443 0.498 0.839
Br1 Br 0.890 0.250 0.276
Br2 Br 0.620 0.750 0.427
Br3 Br 0.380 0.250 0.573
Br4 Br 0.110 0.750 0.724
I1 I 0.235 0.250 0.069
I2 I 0.765 0.750 0.931
Rb1 Rb 0.155 0.750 0.356
Rb2 Rb 0.845 0.250 0.644
```

***

Entry 8:
# GGA-PBE LaGa6Pt4, optimized geometry
# Size of the total moment ... 0.01 μB per formula unit
data_LaGa6Pt4
_chemical_formula_sum 'La1 Ga6 Pt4'
_cell_length_a 7.404
_cell_length_b 7.404
_cell_length_c 4.090
_cell_angle_alpha 90.00
_cell_angle_beta 90.00
_cell_angle_gamma 120.00
_symmetry_space_group_name_H-M 'P 1'
_symmetry_Int_Tables_number 1
loop_
_symmetry_equiv_pos_as_xyz
'x,y,z'
loop_
_atom_site_label
_atom_site_type_symbol
_atom_site_fract_x
_atom_site_fract_y
_atom_site_fract_z
Ga1 Ga 0.534 0.068 0.000
Ga2 Ga 0.534 0.466 0.000
Ga3 Ga 0.932 0.466 0.000
Ga4 Ga 0.198 0.396 0.500
Ga5 Ga 0.198 0.802 0.500
Ga6 Ga 0.604 0.802 0.500
La1 La 0.000 0.000 0.000
Pt1 Pt 0.333 0.667 0.000
Pt2 Pt 0.404 0.202 0.500
Pt3 Pt 0.798 0.202 0.500
Pt4 Pt 0.798 0.596 0.500

***

Record-wise DFT total energy values, in eV per atom: -6.277 -2.514 -4.777 -8.643 -6.315 -2.850 -2.609 -5.089